Y2NiW GGA-PBE relaxed; Fermi-level density of states = 5.6 states/eV/f.u.; total DFT energy (no corrections) = -7.428 eV/atom
1.0
-2.0651 2.0651 4.8580
2.0651 -2.0651 4.8580
2.0651 2.0651 -4.8580
Y Ni W
2 1 1
direct
0.0000 0.0000 0.0000
0.7500 0.2500 0.5000
0.2500 0.7500 0.5000
0.5000 0.5000 0.0000

LaZn3F GGA-PBE relaxed; Fermi-level density of states = 5.7 states/eV/f.u.; formation energy from raw total energies = 483 meV per atom
1.0
6.1451 0.0000 0.0000
0.0000 6.1451 0.0000
0.0000 0.0000 6.1451
La Zn F
1 3 1
direct
0.0000 0.0000 0.0000
0.0000 0.0000 0.5000
0.0000 0.5000 0.0000
0.5000 0.0000 0.0000
0.5000 0.5000 0.5000